PBE-GGA Ho4TcRu, relaxed; energy of formation = -225.9 meV/atom; electronic total energy = -6.551 eV/atom; density of states at the Fermi level = 0.51 states/eV/atom; magnetization = 0.00 μB per cell
1.0
-2.130 -4.532 -3.633
7.251 0.098 -2.102
-1.179 -2.090 7.432
Ho Tc Ru
8 2 2
Cartesian
0.721 -1.857 5.962
2.604 -4.855 0.471
2.766 -3.431 3.859
5.365 -2.875 1.503
-1.423 -3.650 0.194
1.176 -3.095 -2.162
1.338 -1.670 1.226
3.221 -4.668 -4.265
3.466 -2.247 -0.728
0.476 -4.279 2.425
5.533 -3.107 4.401
-1.591 -3.419 -2.704